[1]
20
Lattice="5.719 -5.217 0.000 5.719 5.217 0.000 -3.211 0.000 5.206" Properties=species:S:1:pos:R:3 comment="ZnCuAs2O6, relaxed, DFT PBE-GGA" space_group="C2/c (15)" magmom_total_mub_per_atom=0.000 formation_energy_uncorrected_ev_per_atom=-1.00 crystal_system=monoclinic pbc="T T T"
Zn 3.311 3.039 3.904
Zn 4.917 -3.039 1.301
Cu 4.917 3.044 1.301
Cu 3.311 -3.044 3.904
As 0.834 0.895 3.894
As 2.440 -0.895 1.291
As 5.788 0.895 3.915
As 7.394 -0.895 1.312
O 3.187 3.848 2.070
O 1.573 2.335 4.600
O 6.646 3.848 0.533
O 2.069 0.274 2.607
O 3.674 -0.274 0.004
O 5.049 2.335 3.209
O 3.179 -2.335 1.997
O 4.554 0.274 5.202
O 6.159 -0.274 2.599
O 1.582 -3.848 4.673
O 6.655 -2.335 0.606
O 5.041 -3.848 3.136

=====

[2]
5
Lattice="4.852 0.000 0.000 0.000 4.852 0.000 0.000 0.000 4.852" Properties=species:S:1:pos:R:3 comment="Ta3NiAg, relaxed, DFT PBE-GGA" space_group="Pm-3m (221)" formation_energy_ev_per_fu=11.5 magmom_total_mub_per_atom=0.000 e_above_lowest_polymorph_mev_per_atom=1360 crystal_system=cubic pbc="T T T"
Ta 0.000 0.000 2.426
Ta 0.000 2.426 0.000
Ta 2.426 0.000 0.000
Ni 2.426 2.426 2.426
Ag 0.000 0.000 0.000

=====

[3]
16
Lattice="7.789 0.000 0.000 0.000 7.789 0.000 0.000 0.000 7.789" Properties=species:S:1:pos:R:3 comment="SmY2Tl, relaxed, DFT PBE-GGA" space_group="Fm-3m (225)" formation_energy_ev_per_fu=-0.1 magmom_total_mub_per_atom=0.427 e_above_lowest_polymorph_mev_per_atom=161 crystal_system=cubic pbc="T T T"
Sm 0.000 0.000 0.000
Sm 0.000 3.895 3.895
Sm 3.895 0.000 3.895
Sm 3.895 3.895 0.000
Y 1.947 1.947 1.947
Y 1.947 1.947 5.842
Y 1.947 5.842 1.947
Y 1.947 5.842 5.842
Y 5.842 1.947 1.947
Y 5.842 1.947 5.842
Y 5.842 5.842 1.947
Y 5.842 5.842 5.842
Tl 0.000 0.000 3.895
Tl 0.000 3.895 0.000
Tl 3.895 0.000 0.000
Tl 3.895 3.895 3.895

=====

[4]
16
Lattice="4.175 2.411 7.014 -4.175 2.411 7.014 0.000 -4.821 7.014" Properties=species:S:1:pos:R:3 comment="Na4PmY3Se8, relaxed, DFT PBE-GGA" space_group="R-3m (166)" magmom_total_mub_per_atom=0.000 formation_energy_uncorrected_ev_per_atom=-1.71 crystal_system=trigonal pbc="T T T"
Na 0.000 0.000 0.000
Na -2.088 -1.205 7.014
Na -2.088 1.205 14.028
Na 0.000 2.411 7.014
Pm 0.000 0.000 10.521
Y -4.175 0.000 10.521
Y -2.088 1.205 3.507
Y 2.088 1.205 3.507
Se -2.120 -1.224 12.146
Se 0.000 0.000 5.114
Se 0.000 -2.448 8.896
Se -2.120 1.224 8.896
Se 2.120 -1.224 12.146
Se 0.000 2.448 12.146
Se 0.000 0.000 15.928
Se 2.120 1.224 8.896

=====

[5]
10
Lattice="4.482 0.000 0.000 0.000 4.482 0.000 0.000 0.000 11.430" Properties=species:S:1:pos:R:3 comment="Ac2CdSn3Ir4, relaxed, DFT PBE-GGA" space_group="P-4m2 (115)" formation_energy_ev_per_fu=-5.0 magmom_total_mub_per_atom=0.000 crystal_system=tetragonal pbc="T T T"
Ac 0.000 2.241 2.862
Ac 2.241 0.000 8.568
Cd 0.000 0.000 5.715
Sn 0.000 2.241 9.994
Sn 2.241 0.000 1.436
Sn 2.241 2.241 5.715
Ir 0.000 0.000 0.000
Ir 0.000 2.241 7.344
Ir 2.241 0.000 4.086
Ir 2.241 2.241 0.000

=====

[6]
4
Lattice="3.467 0.000 0.000 0.000 3.467 0.000 0.000 0.000 9.232" Properties=species:S:1:pos:R:3 comment="Sm2ZrCd, relaxed, DFT PBE-GGA" space_group="P4/mmm (123)" formation_energy_ev_per_fu=-0.3 magmom_total_mub_per_atom=0.000 e_above_lowest_polymorph_mev_per_atom=0 crystal_system=tetragonal pbc="T T T"
Sm 0.000 0.000 2.275
Sm 0.000 0.000 6.956
Zr 1.733 1.733 4.616
Cd 1.733 1.733 0.000

=====

Question: What is the formula in the fifth record?
Answer: Ac2CdSn3Ir4